Computed, not measured: a geometry-optimized Sc2MnSnC structure at the PBE-GGA level of DFT.

Structure (POSCAR):
```
Sc2MnSnC
1.0
4.602 0.000 0.000
0.000 4.602 0.000
0.000 0.000 3.835
Sc Mn Sn C
2 1 1 1
Cartesian
0.000 2.301 0.000 Sc
2.301 0.000 0.000 Sc
0.000 0.000 1.917 Mn
2.301 2.301 1.917 Sn
0.000 0.000 0.000 C
```

ρ	5.63	Mg/m³
ΔE_f	-0.48	eV/atom
D(E_F)	0.677	states/eV/atom
SG	P4/mmm, No. 123